A.
Entry from the Alexandria database: a relaxed structure of Mg8Cd2Pb3 (PBE-GGA).

Values from the calculation:
- Size of the total moment: 0.0 μB/f.u.
- Volume: 25.7 Å³/atom

Lattice parameters (Å, degrees): 10.6513 5.9439 11.6280 90.00 114.87 90.00
Last column: nearest neighbours and their distance in Å.
Space group C2/m (No. 12)
Symmetry-distinct sites (fractional):
Mg (0.0148, 0.2484, 0.1875) [8 per cell]  5 Mg 2.95-3.30, 1 Cd 3.02, 2 Pb 3.25-3.29
Mg (0.1268, 0.5000, 0.6432) [4 per cell]  2 Cd 2.83-3.09, 1 Pb 3.04
Mg (0.2273, 0.0000, 0.7951) [4 per cell]  6 Mg 3.05-3.39, 1 Cd 3.09, 4 Pb 3.26-3.31
Cd (0.1871, 0.5000, 0.4278) [4 per cell]  5 Mg 2.83-3.09, 1 Pb 3.08
Pb (0.0000, 0.0000, 0.5000) [2 per cell]  2 Cd 3.08, 6 Mg 3.26-3.40
Pb (0.2073, 0.0000, 0.0713) [4 per cell]  10 Mg 3.04-3.33

=====

B.
Entry from the Alexandria database: a relaxed structure of Mg8Cd2Pb3 (PBE-GGA).

Values from the calculation:
- Size of the total moment: 0.0 μB/f.u.
- Volume: 26.0 Å³/atom

Lattice parameters (Å, degrees): 5.9429 5.9429 33.1867 90.00 90.00 120.00
Last column: nearest neighbours and their distance in Å.
Space group R-3m (No. 166, hexagonal axes)
Symmetry-distinct sites (fractional):
Mg (0.0000, 0.0000, 0.2208) [6 per cell]  1 Cd 2.77, 1 Pb 3.02
Mg (0.0024, 0.5012, 0.2692) [18 per cell]  4 Mg 2.95-2.99, 1 Cd 2.98, 2 Pb 3.29
Cd (0.0000, 0.0000, 0.1373) [6 per cell]  4 Mg 2.77-2.98
Pb (0.0000, 0.0000, 0.3117) [6 per cell]  10 Mg 3.02-3.32
Pb (0.0000, 0.0000, 0.5000) [3 per cell]  6 Cd 3.57, 12 Mg 3.81-3.87

=====

Name the most stable of them. A.

=====

A.
Entry from the Alexandria database: a relaxed structure of Mg5Cd2Pb (PBE-GGA).

Values from the calculation:
- Size of the total moment: 0.0 μB/f.u.
- Volume: 23.7 Å³/atom

Lattice parameters (Å, degrees): 7.6223 7.6223 13.0589 90.00 90.00 90.00
Last column: nearest neighbours and their distance in Å.
Space group I4/mcm (No. 140)
Symmetry-distinct sites (fractional):
Mg (0.0000, 0.0000, 0.0000) [4 per cell]  4 Cd 2.93, 2 Pb 3.26
Mg (0.1500, 0.3500, 0.1560) [16 per cell]  3 Cd 3.02, 2 Pb 3.15, 4 Mg 3.23-3.36
Cd (0.1434, 0.3566, 0.5000) [8 per cell]  8 Mg 2.93-3.02, 1 Cd 3.09
Pb (0.0000, 0.0000, 0.2500) [4 per cell]  10 Mg 3.15-3.26

=====

B.
Entry from the Alexandria database: a relaxed structure of Mg5Cd2Pb (PBE-GGA).

Values from the calculation:
- Size of the total moment: 0.0 μB/f.u.
- Volume: 23.2 Å³/atom

Lattice parameters (Å, degrees): 6.3501 12.7542 4.5764 90.00 90.00 90.00
Last column: nearest neighbours and their distance in Å.
Space group Pbam (No. 55)
Symmetry-distinct sites (fractional):
Mg (0.0000, 0.0000, 0.0000) [2 per cell]  4 Cd 3.16, 2 Pb 3.18, 6 Mg 3.23-3.27
Mg (0.0406, 0.2522, 0.0000) [4 per cell]  4 Cd 3.12-3.14, 1 Pb 3.17, 7 Mg 3.18-3.27
Mg (0.2246, 0.6211, 0.5000) [4 per cell]  4 Cd 3.04-3.33, 2 Pb 3.11, 6 Mg 3.20-3.27
Cd (0.2022, 0.8624, 0.5000) [4 per cell]  10 Mg 3.04-3.33
Pb (0.0000, 0.5000, 0.0000) [2 per cell]  8 Mg 3.11-3.18, 4 Cd 3.45

=====

Name the most stable of them. B.